1.
A geometry-optimized CuOs2O6 structure. Source: Alexandria via LeMat-Bulk, functional GGA-PBE.

Properties
For the uncorrected formation energy, the calculation gives -861 meV per atom. The space group is P321, No. 150. The value obtained for the electronic total energy is -192.2 eV for the cell shown. As for the crystal system: trigonal. The value obtained for the density is 9.5 g cm⁻³.

Cell: 8.619 8.619 4.415 Å, 90.00 90.00 120.00°
Fractional coordinates of all 27 atoms:
Cu 0.000 0.000 0.000
Cu 0.333 0.667 0.500
Cu 0.667 0.333 0.500
Os 0.000 0.345 0.000
Os 0.000 0.678 0.500
Os 0.322 0.322 0.500
Os 0.345 0.000 0.000
Os 0.655 0.655 0.000
Os 0.678 0.000 0.500
O 0.100 0.558 0.252
O 0.113 0.233 0.244
O 0.120 0.887 0.244
O 0.212 0.433 0.747
O 0.221 0.788 0.747
O 0.233 0.113 0.756
O 0.433 0.212 0.253
O 0.442 0.542 0.252
O 0.458 0.900 0.252
O 0.542 0.442 0.748
O 0.558 0.100 0.748
O 0.567 0.779 0.747
O 0.767 0.880 0.244
O 0.779 0.567 0.253
O 0.788 0.221 0.253
O 0.880 0.767 0.756
O 0.887 0.120 0.756
O 0.900 0.458 0.748

=====

2.
A geometry-optimized CuP2OsO structure. Source: Alexandria via LeMat-Bulk, functional GGA-PBE.

Properties
For the uncorrected formation energy, the calculation gives 930 meV per atom. The space group is P4/mmm, No. 123. The value obtained for the electronic total energy is -26.5 eV for the cell shown. The calculation puts the distance to the lowest polymorph of the same formula at 0.6051 eV per atom. As for the crystal system: tetragonal. The value obtained for the density is 7.8 g cm⁻³.

Cell: 4.583 4.583 3.348 Å, 90.00 90.00 90.00°
Fractional coordinates of all 5 atoms:
Cu 0.000 0.000 0.000
P 0.000 0.500 0.000
P 0.500 0.000 0.000
Os 0.500 0.500 0.500
O 0.000 0.000 0.500

=====

3.
A geometry-optimized CuP2OsO structure. Source: Alexandria via LeMat-Bulk, functional GGA-PBE.

Properties
For the uncorrected formation energy, the calculation gives 325 meV per atom. The space group is P4/mmm, No. 123. The value obtained for the electronic total energy is -29.5 eV for the cell shown. The calculation puts the distance to the lowest polymorph of the same formula at 0.0000 eV per atom. As for the crystal system: tetragonal. The value obtained for the density is 6.7 g cm⁻³.

Cell: 4.741 4.741 3.657 Å, 90.00 90.00 90.00°
Fractional coordinates of all 5 atoms:
Cu 0.000 0.000 0.000
P 0.000 0.500 0.500
P 0.500 0.000 0.500
Os 0.500 0.500 0.500
O 0.500 0.500 0.000

=====

4.
A geometry-optimized CuPOs2O structure. Source: Alexandria via LeMat-Bulk, functional GGA-PBE.

Properties
For the uncorrected formation energy, the calculation gives 2321 meV per atom. The space group is P4/mmm, No. 123. The value obtained for the electronic total energy is -25.3 eV for the cell shown. As for the crystal system: tetragonal. The value obtained for the density is 9.7 g cm⁻³.

Cell: 4.610 4.610 3.976 Å, 90.00 90.00 90.00°
Fractional coordinates of all 5 atoms:
Cu 0.000 0.000 0.000
P 0.000 0.000 0.500
Os 0.000 0.500 0.000
Os 0.500 0.000 0.000
O 0.500 0.500 0.500